Entry 1:
VASP calculation (PBE-GGA) on a relaxed structure of Sm5Er2Th3.

Cell: 6.214 6.214 11.359 Å, 90.14 90.14 48.13°
Fractional positions:
Sm 0.000 0.000 0.000
Sm 0.199 0.199 0.600
Sm 0.301 0.301 0.898
Sm 0.699 0.699 0.102
Sm 0.801 0.801 0.400
Er 0.402 0.402 0.204
Er 0.598 0.598 0.796
Th 0.098 0.098 0.301
Th 0.500 0.500 0.500
Th 0.902 0.902 0.699

VASP energy = -0.200 Ha/atom
Calculated density = 9.06 g/cm3
Space group = C2/m, No. 12

Entry 2:
VASP calculation (PBE-GGA) on a relaxed structure of PmCuRh2.

Cell: 4.154 4.154 3.956 Å, 90.00 90.00 90.00°
Fractional positions:
Pm 0.000 0.000 0.000
Cu 0.500 0.500 0.000
Rh 0.000 0.500 0.500
Rh 0.500 0.000 0.500

VASP energy = -0.229 Ha/atom
Distance to the lowest polymorph of the same formula = 0 meV/atom
Calculated density = 10.08 g/cm3
Space group = P4/mmm, No. 123

Entry 3:
VASP calculation (PBE-GGA) on a relaxed structure of KNiW2.

Cell: 2.694 2.694 10.083 Å, 90.00 90.00 90.00°
Fractional positions:
K 0.000 0.000 0.000
Ni 0.000 0.000 0.500
W 0.500 0.500 0.316
W 0.500 0.500 0.684

VASP energy = -0.266 Ha/atom
Distance to the lowest polymorph of the same formula = 230 meV/atom
Calculated density = 10.56 g/cm3
Space group = P4/mmm, No. 123

no.,E_form (meV/atom)
1,45
2,-340
3,947